No. 1
Material: InTcPt2
Method: DFT, PBE-GGA
State: relaxed

Computed properties:
* total moment: 1.0 Bohr magnetons per cell
* DOS(E_F): 0.63 states/eV per atom
* DFT formation energy: -0.014 eV per atom
* space group: Imm2 (44)

a = 5.6313 Å, b = 5.6313 Å, c = 5.6313 Å
α = 150.94°, β = 128.66°, γ = 60.08°
Positions (direct):
In1 0.0000 0.0000 0.0000
Tc1 0.7407 0.2407 0.5000
Pt1 0.2516 0.7516 0.5000
Pt2 0.5053 0.5053 0.0000

No. 2
Material: Ac3Nd2SmTe6
Method: DFT, PBE-GGA
State: relaxed

Computed properties:
* raw formation energy: -1.448 eV per atom
* total moment: 0.0 Bohr magnetons per cell
* DOS(E_F): 0.58 states/eV per atom
* space group: C2/m (12)

a = 10.3161 Å, b = 10.3161 Å, c = 9.2780 Å
α = 103.63°, β = 103.63°, γ = 25.64°
Positions (direct):
Ac1 0.0000 0.0000 0.0000
Ac2 0.3322 0.3322 0.6663
Ac3 0.6678 0.6678 0.3337
Nd1 0.3330 0.3330 0.1662
Nd2 0.6670 0.6670 0.8338
Sm1 0.0000 0.0000 0.5000
Te1 0.1618 0.1618 0.5906
Te2 0.1697 0.1697 0.0752
Te3 0.4972 0.4972 0.2613
Te4 0.5028 0.5028 0.7387
Te5 0.8303 0.8303 0.9248
Te6 0.8382 0.8382 0.4094

No. 3
Material: Sc11Ga9
Method: DFT, PBE-GGA
State: relaxed

Computed properties:
* total moment: 0.0 Bohr magnetons per cell
* DOS(E_F): 0.81 states/eV per atom
* DFT formation energy: -0.587 eV per atom
* space group: Fmmm (69)

a = 10.6945 Å, b = 10.3469 Å, c = 10.3407 Å
α = 62.26°, β = 58.90°, γ = 58.84°
Positions (direct):
Sc1 0.0735 0.5633 0.7004
Sc2 0.0799 0.1493 0.5702
Sc3 0.1493 0.0799 0.2006
Sc4 0.1636 0.1636 0.8364
Sc5 0.2006 0.5702 0.1493
Sc6 0.2996 0.3373 0.9265
Sc7 0.3214 0.6786 0.6786
Sc8 0.3256 0.6744 0.3256
Sc9 0.3373 0.2996 0.4367
Sc10 0.4298 0.7994 0.9201
Sc11 0.4367 0.9265 0.3373
Sc12 0.5633 0.0735 0.6627
Sc13 0.5702 0.2006 0.0799
Sc14 0.6627 0.7004 0.5633
Sc15 0.6744 0.3256 0.6744
Sc16 0.6786 0.3214 0.3214
Sc17 0.7004 0.6627 0.0735
Sc18 0.7994 0.4298 0.8507
Sc19 0.8364 0.8364 0.1636
Sc20 0.8507 0.9201 0.7994
Sc21 0.9201 0.8507 0.4298
Sc22 0.9265 0.4367 0.2996
Ga1 0.0000 0.5000 0.5000
Ga2 0.0320 0.6304 0.9680
Ga3 0.1230 0.8770 0.8770
Ga4 0.1237 0.8763 0.1237
Ga5 0.1237 0.8763 0.5101
Ga6 0.2500 0.2500 0.2500
Ga7 0.3696 0.9680 0.6304
Ga8 0.4031 0.4031 0.5969
Ga9 0.4899 0.5101 0.8763
Ga10 0.5000 0.0000 0.0000
Ga11 0.5101 0.4899 0.1237
Ga12 0.5969 0.5969 0.4031
Ga13 0.6304 0.0320 0.3696
Ga14 0.7500 0.7500 0.7500
Ga15 0.8763 0.1237 0.4899
Ga16 0.8763 0.1237 0.8763
Ga17 0.8770 0.1230 0.1230
Ga18 0.9680 0.3696 0.0320